This record from the Alexandria database describes a relaxed Tl3In3Bi2 crystal. The functional is GGA-PBE.

a = 5.073 Å, b = 4.981 Å, c = 9.583 Å
α = 90.00°, β = 90.00°, γ = 90.00°
Fractional positions:
1 Bi 0.000 0.000 0.744
2 In 0.500 0.000 0.500
3 Tl 0.500 0.500 0.746
4 Tl 0.500 0.500 0.254
5 Bi 0.000 0.000 0.256
6 Tl 0.500 0.000 0.000
7 In 0.000 0.500 0.000
8 In 0.000 0.500 0.500

Calculated values
Magnetic moment   0.00 μB/f.u.
DFT total energy   -23.098 eV/cell
Offset from the most stable computed form   0.00 kcal/mol of atoms
ΔH_f (0 K)   -3 meV per atom
SG   Pmmm
DOS at the Fermi energy   0.404 states/eV/atom
Volume   242.2 Å³/cell



This record from the Alexandria database describes a relaxed TlIn3Bi2 crystal. The functional is GGA-PBE.

a = 5.217 Å, b = 7.047 Å, c = 9.944 Å
α = 90.00°, β = 90.00°, γ = 90.00°
Fractional positions:
1 Bi 0.000 0.785 0.324
2 In 0.000 0.960 0.009
3 Bi 0.000 0.285 0.676
4 In 0.000 0.322 0.339
5 Tl 0.500 0.540 0.509
6 Bi 0.500 0.720 0.836
7 In 0.000 0.460 0.991
8 In 0.500 0.674 0.158
9 In 0.000 0.822 0.661
10 In 0.500 0.174 0.842
11 Bi 0.500 0.220 0.164
12 Tl 0.500 0.040 0.491

Calculated values
Magnetic moment   0.00 μB/f.u.
DFT total energy   -36.747 eV/cell
Offset from the most stable computed form   0.00 kcal/mol of atoms
ΔH_f (0 K)   -5 meV per atom
SG   Pmc2_1
DOS at the Fermi energy   0.411 states/eV/atom
Volume   365.6 Å³/cell



This record from the Alexandria database describes a relaxed Tl5In3Bi12 crystal. The functional is GGA-PBE.

a = 16.411 Å, b = 16.411 Å, c = 16.411 Å
α = 109.47°, β = 109.47°, γ = 109.47°
Fractional positions:
1 Bi 0.085 0.432 0.849
2 In 0.125 0.250 0.875
3 Bi 0.264 0.417 0.849
4 Bi 0.915 0.347 0.264
5 Bi 0.651 0.236 0.583
6 Bi 0.068 0.151 0.415
7 Bi 0.349 0.764 0.417
8 Bi 0.583 0.736 0.651
9 Bi 0.849 0.917 0.264
10 In 0.625 0.375 0.750
11 Tl 0.125 0.375 0.250
12 Bi 0.653 0.085 0.236
13 Bi 0.736 0.153 0.085
14 In 0.375 0.750 0.625
15 Bi 0.847 0.264 0.415
16 Tl 0.250 0.875 0.125
17 Tl 0.500 0.000 0.000
18 Tl 0.000 0.000 0.000
19 In 0.375 0.625 0.250
20 Tl 0.500 0.500 0.500
21 Bi 0.264 0.847 0.915
22 Bi 0.932 0.083 0.847
23 Tl 0.375 0.250 0.125
24 Bi 0.764 0.415 0.347
25 Tl 0.000 0.500 0.000
26 Bi 0.083 0.932 0.347
27 Bi 0.849 0.932 0.085
28 Bi 0.153 0.736 0.585
29 Bi 0.083 0.151 0.236
30 Tl 0.875 0.625 0.750
31 Bi 0.415 0.651 0.068
32 Bi 0.085 0.653 0.736
33 Bi 0.651 0.415 0.568
34 Bi 0.432 0.085 0.349
35 Bi 0.932 0.849 0.585
36 In 0.125 0.875 0.750
37 Bi 0.568 0.915 0.651
38 Bi 0.417 0.153 0.568
39 Bi 0.432 0.347 0.583
40 Tl 0.500 0.500 0.000
41 Tl 0.000 0.000 0.500
42 Bi 0.349 0.585 0.432
43 In 0.750 0.375 0.125
44 Bi 0.415 0.764 0.847
45 Bi 0.068 0.917 0.153
46 Bi 0.915 0.568 0.151
47 In 0.750 0.875 0.625
48 In 0.250 0.125 0.375
49 Tl 0.500 0.000 0.500
50 Bi 0.585 0.236 0.153
51 Bi 0.847 0.583 0.932
52 Tl 0.750 0.125 0.875
53 Bi 0.417 0.264 0.349
54 Tl 0.875 0.250 0.625
55 Bi 0.151 0.068 0.915
56 Bi 0.151 0.083 0.736
57 Bi 0.347 0.915 0.764
58 Tl 0.250 0.375 0.625
59 Tl 0.000 0.500 0.500
60 Tl 0.125 0.750 0.375
61 Bi 0.583 0.847 0.432
62 Bi 0.917 0.849 0.764
63 Tl 0.750 0.625 0.375
64 Bi 0.585 0.349 0.932
65 In 0.625 0.250 0.375
66 Bi 0.917 0.068 0.653
67 In 0.875 0.125 0.250
68 Bi 0.236 0.651 0.083
69 Tl 0.625 0.875 0.250
70 Bi 0.764 0.349 0.917
71 In 0.875 0.750 0.125
72 Bi 0.153 0.417 0.068
73 In 0.250 0.625 0.875
74 Bi 0.653 0.568 0.917
75 Bi 0.736 0.583 0.151
76 Bi 0.347 0.432 0.083
77 Bi 0.236 0.585 0.653
78 Tl 0.625 0.750 0.875
79 Bi 0.568 0.653 0.417
80 Tl 0.375 0.125 0.750

Calculated values
Magnetic moment   0.00 μB/f.u.
DFT total energy   -248.092 eV/cell
ΔH_f (0 K)   230 meV per atom
SG   Ia-3d
DOS at the Fermi energy   0.580 states/eV/atom
Volume   3402.3 Å³/cell